# MgMn2GeO6 GGA+U relaxed
# Electronic total energy (eV/atom): -6.68
data_MgMn2GeO6
_chemical_formula_sum 'Mg1 Mn2 Ge1 O6'
_cell_length_a 5.016
_cell_length_b 5.017
_cell_length_c 5.373
_cell_angle_alpha 117.53
_cell_angle_beta 90.20
_cell_angle_gamma 119.83
_symmetry_space_group_name_H-M 'P 1'
_symmetry_Int_Tables_number 1
loop_
_symmetry_equiv_pos_as_xyz
'x,y,z'
loop_
_atom_site_label
_atom_site_fract_x
_atom_site_fract_y
_atom_site_fract_z
_atom_site_occupancy
Mg1 0.000 0.000 0.000 1
Mn1 0.204 0.410 0.613 1
Mn2 0.706 0.415 0.121 1
Ge1 0.508 0.014 0.523 1
O1 0.122 0.542 0.335 1
O2 0.318 0.223 0.814 1
O3 0.420 0.213 0.333 1
O4 0.592 0.914 0.817 1
O5 0.791 0.911 0.332 1
O6 0.904 0.497 0.814 1